# 1
A relaxed structure of InGa2Rh, computed with GGA-PBE.

```
4
Lattice="3.741 0.000 0.000 1.871 3.240 0.000 1.871 1.080 6.788" Properties=species:S:1:pos:R:3 pbc="T T T"
Ga 1.871 1.080 5.493
Ga 1.871 1.080 1.266
Rh 3.741 2.160 0.089
In 3.741 2.160 3.335
```

Properties
**DFT formation energy**: -0.113 eV/atom
**Calculated total energy**: -16.597 eV/cell
**M_tot**: 0.000 μB/atom

# 2
A relaxed structure of In2BiBr, computed with GGA-PBE.

```
8
Lattice="6.706 0.000 0.000 0.000 6.706 0.000 3.353 3.353 7.851" Properties=species:S:1:pos:R:3 pbc="T T T"
Br 3.353 3.353 0.000
Br 3.353 6.706 3.925
In 5.066 1.676 1.963
In 8.382 8.419 5.888
In 1.640 5.029 1.963
In 5.029 4.993 5.888
Bi 0.000 0.000 0.000
Bi 6.706 3.353 3.925
```

Properties
**Calculated total energy**: -22.520 eV/cell
**M_tot**: 0.000 μB/atom
**Polymorph energy (0 for the lowest one)**: 15.9 kJ per mole of atoms

What is the formula in the second record? In2BiBr

Number 1 is which compound? InGa2Rh

What is the formula in the second record? In2BiBr